First-principles (PBE-GGA) data for crystalline ZrReBr2 at its relaxed geometry, as listed in the Alexandria database.

a = 7.1505 Å, b = 7.1505 Å, c = 7.1505 Å
α = 153.41°, β = 143.95°, γ = 45.35°
Element x y z (fractional)
Zr 0.0000 0.0000 0.0000
Re 0.1477 0.6477 0.5000
Br 0.3915 0.3915 0.0000
Br 0.6509 0.1509 0.5000

distance to the lowest polymorph of the same formula	405	meV per atom
crystal system	orthorhombic
raw formation energy	3.97	kcal/mol of atoms
D(E_F)	1.64	states/eV/f.u.
spin magnetization	0.000	μB per formula unit


First-principles (PBE-GGA) data for crystalline KRb2NaCd at its relaxed geometry, as listed in the Alexandria database.

a = 7.2079 Å, b = 7.2079 Å, c = 6.2567 Å
α = 90.00°, β = 90.00°, γ = 90.00°
Element x y z (fractional)
K 0.0000 0.0000 0.0000
Rb 0.0000 0.5000 0.5000
Rb 0.5000 0.0000 0.5000
Na 0.5000 0.5000 0.0000
Cd 0.5000 0.5000 0.5000

distance to the lowest polymorph of the same formula	0	meV per atom
crystal system	tetragonal
D(E_F)	4.36	states/eV/f.u.
spin magnetization	0.000	μB per formula unit


First-principles (PBE-GGA) data for crystalline MgAsCl2 at its relaxed geometry, as listed in the Alexandria database.

a = 3.2726 Å, b = 3.2726 Å, c = 8.2864 Å
α = 90.00°, β = 90.00°, γ = 90.21°
Element x y z (fractional)
Mg 0.0000 0.0000 0.0000
As 0.5000 0.5000 0.7676
Cl 0.0000 0.0000 0.5657
Cl 0.5000 0.5000 0.1606

distance to the lowest polymorph of the same formula	363	meV per atom
crystal system	orthorhombic
raw formation energy	-12.08	kcal/mol of atoms
D(E_F)	0.95	states/eV/f.u.
spin magnetization	0.000	μB per formula unit


First-principles (PBE-GGA) data for crystalline CaTh2Cd at its relaxed geometry, as listed in the Alexandria database.

a = 12.6921 Å, b = 12.6921 Å, c = 12.6921 Å
α = 15.49°, β = 15.49°, γ = 15.49°
Element x y z (fractional)
Ca 0.0000 0.0000 0.0000
Th 0.0922 0.0922 0.0922
Th 0.9078 0.9078 0.9078
Cd 0.5000 0.5000 0.5000

total energy	-17.0	eV per cell
crystal system	trigonal
D(E_F)	3.62	states/eV/f.u.
spin magnetization	0.000	μB per formula unit


First-principles (PBE-GGA) data for crystalline NbGa2Ru2 at its relaxed geometry, as listed in the Alexandria database.

a = 7.1008 Å, b = 7.1008 Å, c = 3.0589 Å
α = 90.00°, β = 90.00°, γ = 90.00°
Element x y z (fractional)
Nb 0.0000 0.0000 0.0000
Nb 0.5000 0.5000 0.0000
Ga 0.1557 0.3443 0.5000
Ga 0.3443 0.8443 0.5000
Ga 0.6557 0.1557 0.5000
Ga 0.8443 0.6557 0.5000
Ru 0.1426 0.6426 0.0000
Ru 0.3574 0.1426 0.0000
Ru 0.6426 0.8574 0.0000
Ru 0.8574 0.3574 0.0000

distance to the lowest polymorph of the same formula	52	meV per atom
crystal system	tetragonal
D(E_F)	3.05	states/eV/f.u.
spin magnetization	0.000	μB per formula unit


First-principles (PBE-GGA) data for crystalline LiNdGaPt at its relaxed geometry, as listed in the Alexandria database.

a = 4.7641 Å, b = 4.7641 Å, c = 4.7641 Å
α = 60.00°, β = 60.00°, γ = 60.00°
Element x y z (fractional)
Li 0.0000 0.0000 0.0000
Nd 0.7500 0.7500 0.7500
Ga 0.2500 0.2500 0.2500
Pt 0.5000 0.5000 0.5000

distance to the lowest polymorph of the same formula	60	meV per atom
crystal system	cubic
D(E_F)	5.76	states/eV/f.u.
spin magnetization	0.000	μB per formula unit


First-principles (PBE-GGA) data for crystalline Tb4Sc2In at its relaxed geometry, as listed in the Alexandria database.

a = 8.5749 Å, b = 8.5749 Å, c = 8.5749 Å
α = 133.89°, β = 102.06°, γ = 95.61°
Element x y z (fractional)
Tb 0.1746 0.1615 0.0131
Tb 0.2360 0.2159 0.4799
Tb 0.2360 0.7562 0.0201
Tb 0.3515 0.8385 0.5131
Tb 0.6485 0.1615 0.4869
Tb 0.7640 0.2438 0.9799
Tb 0.7640 0.7841 0.5201
Tb 0.8254 0.8385 0.9869
Sc 0.0000 0.5000 0.5000
Sc 0.0312 0.2812 0.7500
Sc 0.5000 0.5000 0.0000
Sc 0.9688 0.7188 0.2500
In 0.5000 0.0000 0.0000
In 0.5000 0.5000 0.5000

total energy	-66.3	eV per cell
crystal system	orthorhombic
D(E_F)	10.07	states/eV/f.u.
spin magnetization	0.000	μB per formula unit


First-principles (PBE-GGA) data for crystalline K5AgSeO2 at its relaxed geometry, as listed in the Alexandria database.

a = 5.3369 Å, b = 5.3369 Å, c = 9.3385 Å
α = 90.00°, β = 90.00°, γ = 90.00°
Element x y z (fractional)
K 0.0000 0.0000 0.0000
K 0.0000 0.5000 0.2455
K 0.0000 0.5000 0.7545
K 0.5000 0.0000 0.2455
K 0.5000 0.0000 0.7545
Ag 0.0000 0.0000 0.5000
Se 0.5000 0.5000 0.0000
O 0.0000 0.0000 0.2813
O 0.0000 0.0000 0.7187

crystal system	tetragonal
raw formation energy	-23.76	kcal/mol of atoms
spin magnetization	0.000	μB per formula unit